No. 1
Compound: Pr2NpMoN5
Source: Alexandria
Functional: PBE
Structure: optimized geometry

Unit cell a=3.531 b=7.162 c=10.623 alpha=90.00 beta=90.00 gamma=104.27
Positions (direct):
Pr1 0.857 0.715 0.806
Pr2 0.107 0.215 0.682
Pr3 0.143 0.285 0.306
Pr4 0.893 0.785 0.182
Np1 0.792 0.585 0.513
Np2 0.208 0.415 0.013
Mo1 0.524 0.049 0.958
Mo2 0.476 0.951 0.458
N1 0.366 0.733 0.001
N2 0.681 0.362 0.889
N3 0.491 0.981 0.788
N4 0.283 0.566 0.647
N5 0.959 0.917 0.540
N6 0.634 0.267 0.501
N7 0.319 0.638 0.389
N8 0.509 0.019 0.288
N9 0.717 0.434 0.147
N10 0.041 0.083 0.040

Energy relative to the elements, uncorrected ... -907 kJ/mol of formula units
Symmetry ... Cmc2_1, No. 36

=====

No. 2
Compound: Cr2CdNi
Source: Alexandria
Functional: PBE
Structure: optimized geometry

Unit cell a=3.248 b=3.248 c=5.454 alpha=90.00 beta=90.00 gamma=90.00
Positions (direct):
Cd1 0.500 0.500 0.750
Cr1 0.000 0.000 0.074
Cr2 0.000 0.000 0.426
Ni1 0.500 0.500 0.250

Symmetry ... P4/mmm, No. 123
Formation energy ... 0.41 eV/atom

=====

No. 3
Compound: ZnPBr2
Source: Alexandria
Functional: PBE
Structure: optimized geometry

Unit cell a=4.953 b=4.953 c=3.473 alpha=90.00 beta=90.00 gamma=90.00
Positions (direct):
Zn1 0.000 0.000 0.500
P1 0.500 0.500 0.500
Br1 0.500 0.000 0.000
Br2 0.000 0.500 0.000

Excess energy over the best structure of this formula in the dataset ... 3.40 eV/f.u.
Energy relative to the elements, uncorrected ... 225 kJ/mol of formula units
Symmetry ... P4/mmm, No. 123

=====

No. 4
Compound: Sr2ErMg12Ag3
Source: Alexandria
Functional: PBE
Structure: optimized geometry

Unit cell a=9.097 b=9.097 c=9.097 alpha=59.41 beta=59.41 gamma=59.41
Positions (direct):
Sr1 0.584 0.584 0.584
Sr2 0.416 0.416 0.416
Er1 0.000 0.000 0.000
Mg1 0.239 0.239 0.863
Mg2 0.836 0.836 0.457
Mg3 0.457 0.836 0.836
Mg4 0.863 0.239 0.239
Mg5 0.836 0.457 0.836
Mg6 0.239 0.863 0.239
Mg7 0.761 0.761 0.137
Mg8 0.164 0.164 0.543
Mg9 0.543 0.164 0.164
Mg10 0.137 0.761 0.761
Mg11 0.164 0.543 0.164
Mg12 0.761 0.137 0.761
Ag1 0.500 0.000 0.000
Ag2 0.000 0.500 0.000
Ag3 0.000 0.000 0.500

Symmetry ... R-3m, No. 166
Formation energy ... 0.16 eV/atom

=====

No. 5
Compound: Mg2CrFe
Source: Alexandria
Functional: PBE
Structure: optimized geometry

Unit cell a=4.153 b=4.149 c=3.829 alpha=90.00 beta=90.00 gamma=90.00
Positions (direct):
Cr1 0.500 0.000 0.500
Fe1 0.000 0.500 0.500
Mg1 0.000 0.000 0.000
Mg2 0.500 0.500 0.000

Excess energy over the best structure of this formula in the dataset ... 1.01 eV/f.u.
Symmetry ... P4/mmm, No. 123
Formation energy ... 0.45 eV/atom

=====

No. 6
Compound: CrRe2Te
Source: Alexandria
Functional: PBE
Structure: optimized geometry

Unit cell a=3.021 b=4.914 c=5.457 alpha=52.64 beta=90.00 gamma=90.00
Positions (direct):
Cr1 0.000 0.000 0.500
Re1 0.000 0.000 0.000
Re2 0.500 0.500 0.000
Te1 0.500 0.500 0.500

Energy relative to the elements, uncorrected ... 265 kJ/mol of formula units
Symmetry ... P2/m, No. 10

=====

No. 7
Compound: Ca3Ac2Ir2
Source: Alexandria
Functional: PBE
Structure: optimized geometry

Unit cell a=4.217 b=6.825 c=8.652 alpha=111.60 beta=90.00 gamma=108.00
Positions (direct):
Ca1 0.500 0.000 0.000
Ca2 0.636 0.271 0.424
Ca3 0.364 0.729 0.576
Ac1 0.836 0.672 0.191
Ac2 0.164 0.328 0.809
Ir1 0.817 0.635 0.801
Ir2 0.183 0.365 0.199

Symmetry ... C2/m, No. 12
Formation energy ... -0.42 eV/atom

=====

No. 8
Compound: KBaPtS2
Source: Alexandria
Functional: PBE
Structure: optimized geometry

Unit cell a=5.377 b=5.943 c=5.377 alpha=90.00 beta=90.00 gamma=90.00
Positions (direct):
S1 0.000 0.000 0.500
S2 0.500 0.000 0.000
K1 0.000 0.000 0.000
Ba1 0.000 0.500 0.000
Pt1 0.500 0.500 0.500

Energy relative to the elements, uncorrected ... 335 kJ/mol of formula units
Symmetry ... P4/mmm, No. 123

=====

No. 9
Compound: LiIn2Ni
Source: Alexandria
Functional: PBE
Structure: optimized geometry

Unit cell a=4.468 b=3.362 c=4.467 alpha=90.00 beta=90.00 gamma=90.00
Positions (direct):
Ni1 0.500 0.625 0.874
Li1 0.000 0.625 0.376
In1 0.000 0.125 0.876
In2 0.500 0.125 0.375

Symmetry ... Pmm2, No. 25
Formation energy ... -0.15 eV/atom

=====

No. 10
Compound: Zn4Cd8Pb
Source: Alexandria
Functional: PBE
Structure: optimized geometry

Unit cell a=5.728 b=7.492 c=7.492 alpha=81.60 beta=67.52 gamma=67.52
Positions (direct):
Zn1 0.000 0.000 0.500
Zn2 0.500 0.000 0.500
Zn3 0.000 0.500 0.000
Zn4 0.500 0.500 0.000
Cd1 0.000 0.344 0.656
Cd2 0.000 0.656 0.344
Cd3 0.344 0.656 0.656
Cd4 0.656 0.344 0.344
Cd5 0.500 0.780 0.220
Cd6 0.500 0.220 0.780
Cd7 0.280 0.220 0.220
Cd8 0.720 0.780 0.780
Pb1 0.000 0.000 0.000

Symmetry ... I4/mmm, No. 139
Formation energy ... 0.05 eV/atom

=====

Number 1: D(E_F) 0.69 states/eV/atom. Number 2: D(E_F) 1.28 states/eV/atom. Number 3: D(E_F) 0.70 states/eV/atom. Number 4: D(E_F) 0.60 states/eV/atom. Number 5: D(E_F) 0.84 states/eV/atom. Number 6: D(E_F) 0.98 states/eV/atom. Number 7: D(E_F) 0.40 states/eV/atom. Number 8: D(E_F) 0.52 states/eV/atom. Number 9: D(E_F) 0.37 states/eV/atom. Number 10: D(E_F) 0.25 states/eV/atom.